# 1
Density functional theory data (GGA-PBE) for an optimized crystal structure of LaMg2AlB.

abc: 5.297 4.138 5.297
angles: 90.00 90.00 90.00
Element x y z (fractional)
Mg 0.000 0.000 0.500
Mg 0.500 0.000 0.000
Al 0.000 0.000 0.000
B 0.000 0.500 0.000
La 0.500 0.500 0.500

Summary:
Theoretical density ... 3.22 g/cm³
Symmetry ... P4/mmm, No. 123
E_form ... 0.522 eV/atom
D(E_F) ... 0.492 states/eV per atom
Calculated total energy ... -3.19 eV per atom

# 2
Density functional theory data (GGA-PBE) for an optimized crystal structure of La3AlB2N6.

abc: 5.410 5.410 6.249
angles: 90.00 90.00 120.00
Element x y z (fractional)
La 0.000 0.000 0.000
N 0.823 0.177 0.703
N 0.646 0.823 0.297
La 0.667 0.333 0.325
Al 0.000 0.000 0.500
La 0.333 0.667 0.675
N 0.823 0.646 0.703
N 0.354 0.177 0.703
N 0.177 0.354 0.297
B 0.667 0.333 0.727
B 0.333 0.667 0.273
N 0.177 0.823 0.297

Summary:
Theoretical density ... 5.76 g/cm³
Symmetry ... P-3m1, No. 164
D(E_F) ... 0.007 states/eV per atom
Calculated total energy ... -8.00 eV per atom

# 3
Density functional theory data (GGA-PBE) for an optimized crystal structure of LaNbAl2B.

abc: 5.275 4.314 5.275
angles: 90.00 90.00 90.00
Element x y z (fractional)
Al 0.000 0.000 0.500
Nb 0.500 0.500 0.500
La 0.000 0.000 0.000
Al 0.500 0.000 0.000
B 0.000 0.500 0.000

Summary:
Theoretical density ... 4.10 g/cm³
Symmetry ... P4/mmm, No. 123
E_form ... 1.945 eV/atom
D(E_F) ... 1.189 states/eV per atom
Calculated total energy ... -3.89 eV per atom

# 4
Density functional theory data (GGA-PBE) for an optimized crystal structure of LaAlB2O6.

abc: 4.833 4.833 6.013
angles: 66.31 66.31 60.00
Element x y z (fractional)
O 0.301 0.926 0.286
Al 0.500 0.500 0.500
B 0.766 0.766 0.703
O 0.926 0.488 0.286
B 0.234 0.234 0.297
O 0.488 0.301 0.286
O 0.512 0.699 0.714
O 0.699 0.074 0.714
O 0.074 0.512 0.714
La 0.000 0.000 0.000

Summary:
Theoretical density ... 4.37 g/cm³
Symmetry ... R-3, No. 148
D(E_F) ... 0.000 states/eV per atom
Calculated total energy ... -8.09 eV per atom

# 5
Density functional theory data (GGA-PBE) for an optimized crystal structure of La2Al2BOs2.

abc: 4.546 6.358 5.765
angles: 77.49 66.78 69.05
Element x y z (fractional)
La 0.438 0.824 0.301
La 0.562 0.176 0.699
Os 0.207 0.687 0.899
B 0.000 0.000 0.000
Al 0.166 0.395 0.273
Al 0.834 0.605 0.727
Os 0.793 0.313 0.101

Summary:
Theoretical density ... 8.43 g/cm³
Symmetry ... C2/m, No. 12
E_form ... -0.431 eV/atom
D(E_F) ... 0.753 states/eV per atom
Calculated total energy ... -7.07 eV per atom

# 6
Density functional theory data (GGA-PBE) for an optimized crystal structure of La2AlB2Os2.

abc: 8.893 8.893 10.433
angles: 67.84 67.84 40.14
Element x y z (fractional)
La 0.545 0.345 0.667
La 0.455 0.655 0.333
La 0.655 0.455 0.833
B 0.713 0.902 0.882
Os 0.160 0.498 0.516
Al 0.974 0.170 0.399
La 0.577 0.915 0.651
Al 0.830 0.026 0.101
La 0.915 0.577 0.151
B 0.098 0.287 0.618
Os 0.151 0.004 0.632
Os 0.498 0.160 0.016
La 0.085 0.423 0.849
Al 0.170 0.974 0.899
La 0.345 0.545 0.167
Al 0.026 0.830 0.601
B 0.287 0.098 0.118
Os 0.004 0.151 0.132
La 0.423 0.085 0.349
B 0.269 0.507 0.941
B 0.731 0.493 0.059
B 0.902 0.713 0.382
B 0.493 0.731 0.559
Os 0.840 0.502 0.484
Os 0.502 0.840 0.984
B 0.507 0.269 0.441
Os 0.996 0.849 0.868
Os 0.849 0.996 0.368

Summary:
Theoretical density ... 9.64 g/cm³
Symmetry ... C2/c, No. 15
E_form ... -0.470 eV/atom
D(E_F) ... 0.341 states/eV per atom
Calculated total energy ... -7.53 eV per atom

# 7
Density functional theory data (GGA-PBE) for an optimized crystal structure of La2AlBPd6.

abc: 5.839 7.196 5.824
angles: 66.50 59.94 89.93
Element x y z (fractional)
La 0.728 0.179 0.545
Al 0.000 0.000 0.000
Pd 0.268 0.313 0.949
Pd 0.732 0.687 0.051
Pd 0.214 0.685 0.052
Pd 0.267 0.308 0.467
La 0.272 0.821 0.455
Pd 0.786 0.315 0.948
Pd 0.733 0.692 0.533
B 0.500 0.500 0.000

Summary:
Theoretical density ... 8.42 g/cm³
Symmetry ... P-1, No. 2
E_form ... -0.748 eV/atom
D(E_F) ... 0.364 states/eV per atom
Calculated total energy ... -5.89 eV per atom

# 8
Density functional theory data (GGA-PBE) for an optimized crystal structure of La3AlB2Pt9.

abc: 5.860 5.860 9.291
angles: 90.00 90.00 120.00
Element x y z (fractional)
Pt 0.500 0.000 0.000
B 0.333 0.667 0.150
Pt 0.835 0.670 0.710
B 0.667 0.333 0.850
Pt 0.670 0.835 0.290
La 0.000 0.000 0.000
Pt 0.165 0.330 0.290
La 0.667 0.333 0.382
Al 0.000 0.000 0.500
Pt 0.165 0.835 0.290
La 0.333 0.667 0.618
Pt 0.835 0.165 0.710
Pt 0.330 0.165 0.710
Pt 0.000 0.500 0.000
Pt 0.500 0.500 0.000

Summary:
Theoretical density ... 13.35 g/cm³
Symmetry ... P-3m1, No. 164
E_form ... -0.884 eV/atom
D(E_F) ... 0.233 states/eV per atom
Calculated total energy ... -6.63 eV per atom